VASP calculation (PBE-GGA) on an optimized crystal structure of Ag3WI2Cl6.

a = 8.4837 Å, b = 8.4837 Å, c = 6.1871 Å
α = 98.95°, β = 98.95°, γ = 55.81°
Sites, in units of the cell vectors:
Ag  0.0000  0.0000  0.0000
Ag  0.0000  0.5000  0.5000
Ag  0.5000  0.0000  0.5000
W  0.5000  0.5000  0.5000
I  0.1779  0.1779  0.2118
I  0.8221  0.8221  0.7882
Cl  0.2122  0.6319  0.2754
Cl  0.3681  0.7878  0.7246
Cl  0.3842  0.3842  0.7143
Cl  0.6158  0.6158  0.2857
Cl  0.6319  0.2122  0.2754
Cl  0.7878  0.3681  0.7246

Values from the calculation:
Its crystal system is monoclinic. For the energy relative to the elements, uncorrected, the calculation gives -0.5499 eV/atom. As for the space group: C2/m (12).

=====

VASP calculation (PBE-GGA) on an optimized crystal structure of GdTlAu2.

a = 4.8275 Å, b = 4.8275 Å, c = 3.9934 Å
α = 90.00°, β = 90.00°, γ = 90.00°
Sites, in units of the cell vectors:
Gd  0.0000  0.0000  0.0000
Tl  0.5000  0.5000  0.0000
Au  0.0000  0.5000  0.5000
Au  0.5000  0.0000  0.5000

Values from the calculation:
Its crystal system is tetragonal. For the energy above the most stable polymorph in this dataset, the calculation gives 0.42 eV per formula unit. As for the space group: P4/mmm (123).

=====

VASP calculation (PBE-GGA) on an optimized crystal structure of Nd2MgP2N6.

a = 6.4299 Å, b = 6.4299 Å, c = 6.4299 Å
α = 50.62°, β = 50.62°, γ = 50.62°
Sites, in units of the cell vectors:
Nd  0.2099  0.2099  0.2099
Nd  0.7901  0.7901  0.7901
Mg  0.0000  0.0000  0.0000
P  0.4190  0.4190  0.4190
P  0.5810  0.5810  0.5810
N  0.2483  0.7444  0.7444
N  0.2556  0.2556  0.7517
N  0.2556  0.7517  0.2556
N  0.7444  0.2483  0.7444
N  0.7444  0.7444  0.2483
N  0.7517  0.2556  0.2556

Values from the calculation:
Its crystal system is trigonal. For the energy relative to the elements, uncorrected, the calculation gives -0.8206 eV/atom. As for the space group: R-3m (166).

=====

V for the records above, in order: 30.218; 23.266; 13.307 A^3/atom
Uncorrected energy for the records above, in order: -3.52; -6.21; -7.36 eV/atom